Entry from the Alexandria database: an optimized crystal structure of Be2AsN (PBE-GGA).

The structure in POSCAR format:
```
Be2AsN
1.0
4.853 0.000 0.000
0.000 4.853 0.000
2.426 2.426 3.954
Be As N
4 2 2
Direct
0.485 0.125 0.250 Be
0.265 0.625 0.250 Be
0.375 0.515 0.750 Be
0.875 0.735 0.750 Be
0.000 0.000 0.000 As
0.750 0.250 0.500 As
0.500 0.500 0.000 N
0.250 0.750 0.500 N
```

- Formation energy (no corrections): -288.9 meV/atom
- N(E_F): 0.025 states/eV per atom
- Total magnetic moment: 0.00 μB/cell
- Volume: 93.11 Å³/cell